Material: Mg2Zr2Sc
Method: DFT, PBE-GGA
State: relaxed

POSCAR file:
```
Mg2Zr2Sc
1.0
8.4798 0.0000 0.0000
0.0000 8.4798 0.0000
0.0000 0.0000 3.2535
Sc Mg Zr
2 4 4
direct
0.0000 0.0000 0.0000 Sc
0.5000 0.5000 0.0000 Sc
0.1749 0.6749 0.5000 Mg
0.6749 0.8251 0.5000 Mg
0.8251 0.3251 0.5000 Mg
0.3251 0.1749 0.5000 Mg
0.3774 0.8774 0.0000 Zr
0.8774 0.6226 0.0000 Zr
0.6226 0.1226 0.0000 Zr
0.1226 0.3774 0.0000 Zr
```

Properties
ρ, Mg/m³: 3.92
D(E_F), states/eV/f.u.: 6.581
Formation energy from the elements, eV/atom: 0.239
Magnetization, μB per cell: 1.06
Relative energy among the computed polymorphs, kJ per mole of atoms: 23.9
Uncorrected energy, eV per atom: -5.08